Entry 1:
Compound: VP2C
Source: Alexandria via LeMat-Bulk
Functional: GGA-PBE
Structure: relaxed

Cell: 5.334 5.334 5.334 Å, 120.50 120.50 89.14°
Fractional positions:
V: 0.000 0.000 0.000
V: 0.750 0.250 0.500
P: 0.202 0.625 0.077
P: 0.375 0.452 0.577
P: 0.548 0.125 0.923
P: 0.875 0.798 0.423
C: 0.250 0.750 0.500
C: 0.500 0.500 0.000

Values from the calculation:
Volume: 13.31 Å³ per atom
Density: 3.89 g cm⁻³
Energy of formation from the pure elements: 1.2 eV/f.u.

---

Entry 2:
Compound: TlWIN2
Source: Alexandria via LeMat-Bulk
Functional: GGA-PBE
Structure: relaxed

Cell: 4.134 4.134 5.760 Å, 90.00 90.00 90.00°
Fractional positions:
Tl: 0.000 0.000 0.000
W: 0.500 0.500 0.500
I: 0.500 0.500 0.000
N: 0.000 0.500 0.500
N: 0.500 0.000 0.500

Values from the calculation:
Volume: 19.69 Å³ per atom
Density: 9.16 g cm⁻³
Energy relative to the elements, uncorrected: 0.619 eV per atom

---

Entry 3:
Compound: Hg3S2BrCl
Source: Alexandria via LeMat-Bulk
Functional: GGA-PBE
Structure: relaxed

Cell: 10.307 10.307 9.363 Å, 90.60 90.60 54.57°
Fractional positions:
Hg: 0.000 0.500 0.000
Hg: 0.110 0.646 0.303
Hg: 0.232 0.232 0.297
Hg: 0.232 0.768 0.000
Hg: 0.354 0.890 0.697
Hg: 0.474 0.474 0.724
Hg: 0.500 0.000 0.000
Hg: 0.526 0.526 0.276
Hg: 0.646 0.110 0.303
Hg: 0.768 0.232 0.000
Hg: 0.768 0.768 0.703
Hg: 0.890 0.354 0.697
S: 0.009 0.500 0.739
S: 0.233 0.748 0.740
S: 0.252 0.767 0.260
S: 0.500 0.009 0.739
S: 0.500 0.991 0.261
S: 0.748 0.233 0.740
S: 0.767 0.252 0.260
S: 0.991 0.500 0.261
Br: 0.126 0.126 0.988
Br: 0.374 0.374 0.997
Br: 0.626 0.626 0.003
Br: 0.874 0.874 0.012
Cl: 0.126 0.126 0.508
Cl: 0.380 0.380 0.480
Cl: 0.620 0.620 0.520
Cl: 0.874 0.874 0.492

Values from the calculation:
Volume: 28.95 Å³ per atom
Density: 6.40 g cm⁻³
Energy relative to the elements, uncorrected: -0.347 eV per atom

---

Entry 4:
Compound: NdSm2Th2
Source: Alexandria via LeMat-Bulk
Functional: GGA-PBE
Structure: relaxed

Cell: 14.464 11.803 8.721 Å, 88.29 54.65 37.06°
Fractional positions:
Nd: 0.125 0.125 0.125
Nd: 0.875 0.875 0.875
Sm: 0.204 0.546 0.204
Sm: 0.454 0.796 0.454
Sm: 0.546 0.204 0.546
Sm: 0.796 0.454 0.796
Th: 0.000 0.000 0.000
Th: 0.000 0.000 0.500
Th: 0.000 0.500 0.000
Th: 0.500 0.000 0.000

Values from the calculation:
Volume: 34.96 Å³ per atom
Density: 8.64 g cm⁻³
Energy of formation from the pure elements: 2.3 eV/f.u.

---

Entry 5:
Compound: Mn2CrGa2
Source: Alexandria via LeMat-Bulk
Functional: GGA-PBE
Structure: relaxed

Cell: 5.918 5.918 3.876 Å, 90.00 90.00 90.00°
Fractional positions:
Mn: 0.136 0.364 0.000
Mn: 0.364 0.864 0.000
Mn: 0.636 0.136 0.000
Mn: 0.864 0.636 0.000
Cr: 0.000 0.000 0.000
Cr: 0.500 0.500 0.000
Ga: 0.171 0.671 0.500
Ga: 0.329 0.171 0.500
Ga: 0.671 0.829 0.500
Ga: 0.829 0.329 0.500

Values from the calculation:
Volume: 13.57 Å³ per atom
Density: 7.37 g cm⁻³
Energy of formation from the pure elements: 0.9 eV/f.u.

---

Entry 6:
Compound: LiMg2Hg
Source: Alexandria via LeMat-Bulk
Functional: GGA-PBE
Structure: relaxed

Cell: 3.178 4.620 5.842 Å, 90.00 104.24 90.00°
Fractional positions:
Li: 0.000 0.000 0.000
Mg: 0.276 0.000 0.525
Mg: 0.606 0.500 0.212
Hg: 0.884 0.500 0.742

Values from the calculation:
Volume: 20.78 Å³ per atom
Density: 5.12 g cm⁻³
Energy of formation from the pure elements: -0.7 eV/f.u.

---

Question: The highest density belongs to which entry?
Answer: TlWIN2

---

Question: Which formula does entry 2 have?
Answer: TlWIN2